(1)
# Th2AlNi4Ge3, relaxed, DFT PBE
# Crystal system: tetragonal
# Energy relative to the elements (meV per atom): -731
# D(E_F) (states/eV/f.u.): 5.7
data_Th2AlNi4Ge3
_symmetry_space_group_name_H-M 'P 1'
_symmetry_Int_Tables_number 1
_cell_length_a 4.157
_cell_length_b 4.157
_cell_length_c 9.791
_cell_angle_alpha 90.00
_cell_angle_beta 90.00
_cell_angle_gamma 90.00
loop_
_symmetry_equiv_pos_as_xyz
'x,y,z'
loop_
_atom_site_label
_atom_site_type_symbol
_atom_site_fract_x
_atom_site_fract_y
_atom_site_fract_z
_atom_site_occupancy
Th1 Th 0.000 0.500 0.241 1
Th2 Th 0.500 0.000 0.759 1
Al1 Al 0.000 0.000 0.500 1
Ni1 Ni 0.000 0.000 0.000 1
Ni2 Ni 0.000 0.500 0.629 1
Ni3 Ni 0.500 0.000 0.371 1
Ni4 Ni 0.500 0.500 0.000 1
Ge1 Ge 0.000 0.500 0.872 1
Ge2 Ge 0.500 0.000 0.128 1
Ge3 Ge 0.500 0.500 0.500 1

---

(2)
# TmAl2Ni4Ge, relaxed, DFT PBE
# Crystal system: trigonal
# Energy relative to the elements (meV per atom): -483
# D(E_F) (states/eV/f.u.): 4.6
data_TmAl2Ni4Ge
_symmetry_space_group_name_H-M 'P 1'
_symmetry_Int_Tables_number 1
_cell_length_a 8.379
_cell_length_b 8.379
_cell_length_c 8.379
_cell_angle_alpha 28.10
_cell_angle_beta 28.10
_cell_angle_gamma 28.10
loop_
_symmetry_equiv_pos_as_xyz
'x,y,z'
loop_
_atom_site_label
_atom_site_type_symbol
_atom_site_fract_x
_atom_site_fract_y
_atom_site_fract_z
_atom_site_occupancy
Tm1 Tm 0.000 0.000 0.000 1
Al1 Al 0.245 0.245 0.245 1
Al2 Al 0.755 0.755 0.755 1
Ni1 Ni 0.133 0.133 0.133 1
Ni2 Ni 0.404 0.404 0.404 1
Ni3 Ni 0.596 0.596 0.596 1
Ni4 Ni 0.867 0.867 0.867 1
Ge1 Ge 0.500 0.500 0.500 1

---

(3)
# TmAlNi5Ge2, relaxed, DFT PBE
# Crystal system: tetragonal
# Energy relative to the elements (meV per atom): -174
# D(E_F) (states/eV/f.u.): 3.7
data_TmAlNi5Ge2
_symmetry_space_group_name_H-M 'P 1'
_symmetry_Int_Tables_number 1
_cell_length_a 4.126
_cell_length_b 4.126
_cell_length_c 7.811
_cell_angle_alpha 90.00
_cell_angle_beta 90.00
_cell_angle_gamma 90.00
loop_
_symmetry_equiv_pos_as_xyz
'x,y,z'
loop_
_atom_site_label
_atom_site_type_symbol
_atom_site_fract_x
_atom_site_fract_y
_atom_site_fract_z
_atom_site_occupancy
Tm1 Tm 0.000 0.000 0.000 1
Al1 Al 0.000 0.000 0.500 1
Ni1 Ni 0.000 0.500 0.225 1
Ni2 Ni 0.000 0.500 0.775 1
Ni3 Ni 0.500 0.000 0.225 1
Ni4 Ni 0.500 0.000 0.775 1
Ni5 Ni 0.500 0.500 0.000 1
Ge1 Ge 0.500 0.500 0.348 1
Ge2 Ge 0.500 0.500 0.652 1

---

- Which formula does entry 1 have?
  Th2AlNi4Ge3

---

- Which of these has the lowest D(E_F)?
  TmAlNi5Ge2

---

- Which of these has the lowest D(E_F)?
  TmAlNi5Ge2